(1)
! Sb4Te7Au | Alexandria | GGA-PBE | optimized geometry; values from VASP
&SYSTEM
  ibrav = 0, nat = 12, ntyp = 3
/
ATOMIC_SPECIES
Sb 121.76 Sb.upf
Te 127.60 Te.upf
Au 196.97 Au.upf
CELL_PARAMETERS angstrom
4.3146 0.0000 0.0000
-2.1573 3.7366 0.0000
0.0000 0.0000 23.7213
ATOMIC_POSITIONS crystal
Sb 0.3333 0.6667 0.1468
Sb 0.3333 0.6667 0.4158
Sb 0.6667 0.3333 0.5842
Sb 0.6667 0.3333 0.8532
Te 0.0000 0.0000 0.2196
Te 0.0000 0.0000 0.5000
Te 0.0000 0.0000 0.7804
Te 0.3333 0.6667 0.6569
Te 0.3333 0.6667 0.9346
Te 0.6667 0.3333 0.0654
Te 0.6667 0.3333 0.3431
Au 0.0000 0.0000 0.0000
! Electronic total energy   -3.575 eV/atom
! ΔE_f (raw)   -9.2 kJ/mol of atoms
! Crystal system   trigonal
! Size of the total moment   0.00 μB/f.u.

---

(2)
! Sb2Te2Au | Alexandria | GGA-PBE | optimized geometry; values from VASP
&SYSTEM
  ibrav = 0, nat = 10, ntyp = 3
/
ATOMIC_SPECIES
Sb 121.76 Sb.upf
Te 127.60 Te.upf
Au 196.97 Au.upf
CELL_PARAMETERS angstrom
8.0885 0.0000 0.0000
0.0000 8.0885 0.0000
0.0000 0.0000 4.4493
ATOMIC_POSITIONS crystal
Sb 0.1324 0.3676 0.0000
Sb 0.3676 0.8676 0.0000
Sb 0.6324 0.1324 0.0000
Sb 0.8676 0.6324 0.0000
Te 0.1879 0.6879 0.5000
Te 0.3121 0.1879 0.5000
Te 0.6879 0.8121 0.5000
Te 0.8121 0.3121 0.5000
Au 0.0000 0.0000 0.5000
Au 0.5000 0.5000 0.5000
! Electronic total energy   -3.291 eV/atom
! ΔE_f (raw)   26.1 kJ/mol of atoms
! Crystal system   tetragonal
! Size of the total moment   0.00 μB/f.u.
! ΔE to the lowest computed polymorph   242 meV per atom

---

(3)
! Sb2TeAu2 | Alexandria | GGA-PBE | optimized geometry; values from VASP
&SYSTEM
  ibrav = 0, nat = 5, ntyp = 3
/
ATOMIC_SPECIES
Sb 121.76 Sb.upf
Te 127.60 Te.upf
Au 196.97 Au.upf
CELL_PARAMETERS angstrom
-2.3629 2.3629 5.8400
2.3629 -2.3629 5.8400
2.3629 2.3629 -5.8400
ATOMIC_POSITIONS crystal
Sb 0.2500 0.7500 0.5000
Sb 0.7500 0.2500 0.5000
Te 0.0000 0.0000 0.0000
Au 0.3836 0.3836 0.0000
Au 0.6164 0.6164 0.0000
! Electronic total energy   -3.375 eV/atom
! ΔE_f (raw)   20.5 kJ/mol of atoms
! Crystal system   tetragonal
! Size of the total moment   0.00 μB/f.u.
! ΔE to the lowest computed polymorph   250 meV per atom

---

(4)
! Sb2Te2Au | Alexandria | GGA-PBE | optimized geometry; values from VASP
&SYSTEM
  ibrav = 0, nat = 5, ntyp = 3
/
ATOMIC_SPECIES
Sb 121.76 Sb.upf
Te 127.60 Te.upf
Au 196.97 Au.upf
CELL_PARAMETERS angstrom
-3.0287 3.0287 4.3168
3.0287 -3.0287 4.3168
3.0287 3.0287 -4.3168
ATOMIC_POSITIONS crystal
Sb 0.1901 0.1901 0.0000
Sb 0.8099 0.8099 0.0000
Te 0.2500 0.7500 0.5000
Te 0.7500 0.2500 0.5000
Au 0.5000 0.5000 0.0000
! Electronic total energy   -3.467 eV/atom
! ΔE_f (raw)   9.1 kJ/mol of atoms
! Crystal system   tetragonal
! Size of the total moment   0.00 μB/f.u.
! ΔE to the lowest computed polymorph   65 meV per atom